Here is a relaxed structure of Na2LaSiS4 from Alexandria via LeMat-Bulk. Energies are from PBE.

Formation energy from raw total energies in eV/atom: -1.13
SG: No. 74

abc: 7.964 7.964 7.964
angles: 123.28 117.12 89.74
Sites, in units of the cell vectors:
Na  0.000  0.000  0.000
Na  0.500  0.000  0.000
Na  0.500  0.000  0.500
Na  0.500  0.500  0.500
La  0.000  0.500  0.500
La  0.500  0.500  0.000
Si  0.000  0.000  0.500
Si  0.000  0.500  0.000
S  0.204  0.249  0.955
S  0.207  0.751  0.455
S  0.223  0.221  0.498
S  0.223  0.725  0.002
S  0.777  0.275  0.998
S  0.777  0.779  0.502
S  0.793  0.249  0.545
S  0.796  0.751  0.045